The following is a DFT calculation (PBEsol) of a geometry-optimized Si2SbSe structure.

excess energy over the best structure of this formula in the dataset: 0.2899 eV/atom
formation energy from raw total energies: 0.46 eV per atom

The structure in POSCAR format:
```
Si2SbSe
1.0
3.881 0.000 0.000
0.000 3.881 0.000
-1.940 -1.940 5.335
Sb Si Se
1 2 1
direct
0.500 0.500 0.000 Sb
0.000 0.000 0.000 Si
0.750 0.250 0.500 Si
0.250 0.750 0.500 Se
```


The following is a DFT calculation (PBEsol) of a geometry-optimized SiSbSe structure.

excess energy over the best structure of this formula in the dataset: 0.5566 eV/atom
formation energy from raw total energies: 0.64 eV per atom

The structure in POSCAR format:
```
SiSbSe
1.0
-2.814 -2.106 -3.112
-3.053 -3.267 1.430
-4.603 0.925 -0.005
Sb Si Se
1 1 1
direct
0.500 0.500 0.500 Sb
0.000 0.000 0.000 Si
0.250 0.250 0.250 Se
```


The following is a DFT calculation (PBEsol) of a geometry-optimized SiSbSe2 structure.

excess energy over the best structure of this formula in the dataset: 0.0987 eV/atom
formation energy from raw total energies: 0.09 eV per atom

The structure in POSCAR format:
```
SiSbSe2
1.0
-0.545 -3.424 3.336
1.242 -2.085 -4.155
3.618 3.106 1.418
Sb Si Se
1 1 2
direct
0.500 0.500 0.000 Sb
0.000 0.000 0.000 Si
0.500 0.000 0.500 Se
0.000 0.500 0.500 Se
```